Record 1
{"formula": "TlTeP2S8", "functional": "GGA-PBE", "state": "optimized geometry", "total_magnetization_mub_per_cell": 0.00, "crystal_system": "trigonal", "formation_energy_uncorrected_mev_per_atom": -44, "lattice_angstrom": [[-1.3525, -3.3709, -4.8205], [4.1923, -1.0663, -4.2092], [3.7268, -9.4371, 1.7750]], "species": ["Tl", "Te", "P", "P", "S", "S", "S", "S", "S", "S", "S", "S"], "fractional_positions": [[0.5000, 0.5000, 0.5000], [0.0000, 0.0000, 0.0000], [0.2568, 0.2568, 0.2297], [0.7432, 0.7432, 0.7703], [0.1881, 0.1881, 0.4356], [0.5950, 0.2991, 0.1699], [0.8119, 0.8119, 0.5644], [0.9360, 0.5950, 0.1699], [0.0640, 0.4050, 0.8301], [0.2991, 0.9360, 0.1699], [0.7009, 0.0640, 0.8301], [0.4050, 0.7009, 0.8301]]}

Record 2
{"formula": "TlTeP2S", "functional": "GGA-PBE", "state": "optimized geometry", "total_magnetization_mub_per_cell": 0.01, "crystal_system": "tetragonal", "relative_energy_ev_per_fu": 0.00, "formation_energy_uncorrected_mev_per_atom": 779, "lattice_angstrom": [[-1.9210, 1.7780, 4.4291], [-0.2739, -4.8076, 1.8112], [4.8117, 0.4448, 1.9084]], "species": ["P", "P", "Tl", "Te", "S"], "fractional_positions": [[0.0000, 0.5000, 0.0000], [0.5000, 0.0000, 0.0000], [0.5000, 0.5000, 0.5000], [0.0000, 0.0000, 0.0000], [0.0000, 0.0000, 0.5000]]}

Record 3
{"formula": "Tm6TeP3S2", "functional": "GGA-PBE", "state": "optimized geometry", "total_magnetization_mub_per_cell": 0.00, "crystal_system": "monoclinic", "formation_energy_uncorrected_mev_per_atom": -1692, "lattice_angstrom": [[3.9609, 0.0000, 0.0000], [0.0000, 8.0129, 0.2392], [-1.9805, -2.3563, 8.3742]], "species": ["Tm", "Tm", "Tm", "Tm", "Tm", "Tm", "Te", "P", "P", "P", "S", "S"], "fractional_positions": [[0.3229, 0.9191, 0.6459], [0.6649, 0.5889, 0.3297], [0.6771, 0.0809, 0.3541], [0.9990, 0.2765, 0.9980], [0.0010, 0.7235, 0.0020], [0.3351, 0.4111, 0.6703], [0.5000, 0.0000, 0.0000], [0.5000, 0.5000, 0.0000], [0.8358, 0.1692, 0.6717], [0.1642, 0.8308, 0.3283], [0.8314, 0.6651, 0.6629], [0.1686, 0.3349, 0.3371]]}